This record from Alexandria describes a relaxed PrNd6Dy8 crystal. The functional is PBE.

Cell lengths 8.7525, 8.7525, 8.7525 Å; angles 63.08, 63.08, 63.08 degrees
Last column: nearest neighbours and their distance in Å.
Fractional coordinates of all 15 atoms:
Pr: 0.0000 0.0000 0.0000  6 Nd 3.50, 6 Dy 3.58
Nd: 0.1039 0.2298 0.5370  4 Dy 3.41-3.76, 1 Pr 3.50, 2 Nd 3.53
Nd: 0.2298 0.5370 0.1039  4 Dy 3.41-3.76, 1 Pr 3.50, 2 Nd 3.53
Nd: 0.4630 0.8961 0.7702  4 Dy 3.41-3.76, 1 Pr 3.50, 2 Nd 3.53
Nd: 0.5370 0.1039 0.2298  4 Dy 3.41-3.76, 1 Pr 3.50, 2 Nd 3.53
Nd: 0.7702 0.4630 0.8961  4 Dy 3.41-3.76, 1 Pr 3.50, 2 Nd 3.53
Nd: 0.8961 0.7702 0.4630  4 Dy 3.41-3.76, 1 Pr 3.50, 2 Nd 3.53
Dy: 0.1121 0.7469 0.7171  3 Nd 3.41-3.76, 5 Dy 3.45-3.49, 1 Pr 3.58
Dy: 0.2531 0.2829 0.8879  3 Nd 3.41-3.76, 5 Dy 3.45-3.49, 1 Pr 3.58
Dy: 0.2829 0.8879 0.2531  3 Nd 3.41-3.76, 5 Dy 3.45-3.49, 1 Pr 3.58
Dy: 0.4236 0.4236 0.4236  4 Dy 3.20-3.45, 3 Nd 3.46
Dy: 0.5764 0.5764 0.5764  4 Dy 3.20-3.45, 3 Nd 3.46
Dy: 0.7171 0.1121 0.7469  3 Nd 3.41-3.76, 5 Dy 3.45-3.49, 1 Pr 3.58
Dy: 0.7469 0.7171 0.1121  3 Nd 3.41-3.76, 5 Dy 3.45-3.49, 1 Pr 3.58
Dy: 0.8879 0.2531 0.2829  3 Nd 3.41-3.76, 5 Dy 3.45-3.49, 1 Pr 3.58

Summary:
DOS at the Fermi energy	21.4	states/eV/cell
density	7.56	Mg/m³
DFT total energy	-4.5561	eV per atom
energy relative to the elements	2.863	kcal/mol of atoms

This record from Alexandria describes a relaxed VOs3Pd crystal. The functional is PBE.

Cell lengths 4.4607, 4.4607, 4.4607 Å; angles 90.00, 90.00, 90.00 degrees
Last column: nearest neighbours and their distance in Å.
Fractional coordinates of all 5 atoms:
V: 0.0000 0.0000 0.0000  6 Os 2.23
Os: 0.0000 0.0000 0.5000  2 V 2.23
Os: 0.0000 0.5000 0.0000  2 V 2.23
Os: 0.5000 0.0000 0.0000  2 V 2.23
Pd: 0.5000 0.5000 0.5000  12 Os 3.15

Summary:
DOS at the Fermi energy	6.9	states/eV/cell
relative energy among the computed polymorphs	0.0	kJ per mole of atoms
density	13.62	Mg/m³
DFT total energy	-7.8959	eV per atom
energy relative to the elements	39.301	kcal/mol of atoms

This record from Alexandria describes a relaxed Sc2NbRu2 crystal. The functional is PBE.

Cell lengths 9.8771, 9.8771, 3.1154 Å; angles 90.00, 90.00, 161.72 degrees
Last column: nearest neighbours and their distance in Å.
Fractional coordinates of all 5 atoms:
Sc: 0.1674 0.8326 0.0000  4 Ru 2.76
Sc: 0.8326 0.1674 0.0000  4 Ru 2.76
Nb: 0.0000 0.0000 0.0000  8 Ru 2.73
Ru: 0.4175 0.5825 0.5000  4 Nb 2.73, 4 Sc 2.76
Ru: 0.5825 0.4175 0.5000  4 Nb 2.73, 4 Sc 2.76

Summary:
DOS at the Fermi energy	3.1	states/eV/cell
relative energy among the computed polymorphs	0.0	kJ per mole of atoms
density	6.71	Mg/m³
DFT total energy	-8.6239	eV per atom
energy relative to the elements	-8.464	kcal/mol of atoms

This record from Alexandria describes a relaxed SrLa4Pb crystal. The functional is PBE.

Cell lengths 6.8141, 6.8141, 6.8141 Å; angles 60.00, 60.00, 60.00 degrees
Last column: nearest neighbours and their distance in Å.
Fractional coordinates of all 6 atoms:
Sr: 0.0000 0.0000 0.0000  12 La 4.00, 4 Pb 4.17
La: 0.1324 0.6225 0.6225  6 La 3.34-3.47
La: 0.6225 0.1324 0.6225  6 La 3.34-3.47
La: 0.6225 0.6225 0.1324  6 La 3.34-3.47
La: 0.6225 0.6225 0.6225  6 La 3.34-3.47
Pb: 0.2500 0.2500 0.2500  12 La 3.99, 4 Sr 4.17

Summary:
DOS at the Fermi energy	9.7	states/eV/cell
density	6.31	Mg/m³
DFT total energy	-4.0900	eV per atom
energy relative to the elements	2.153	kcal/mol of atoms

This record from Alexandria describes a relaxed Y2Tm2Mg15 crystal. The functional is PBE.

Cell lengths 7.8870, 7.8870, 7.8870 Å; angles 82.78, 82.78, 82.78 degrees
Last column: nearest neighbours and their distance in Å.
Fractional coordinates of all 19 atoms:
Y: 0.1711 0.1711 0.1711  1 Tm 3.48, 15 Mg 3.67-3.90
Y: 0.8289 0.8289 0.8289  1 Tm 3.48, 15 Mg 3.67-3.90
Tm: 0.3991 0.3991 0.3991  1 Tm 3.08, 6 Mg 3.17-3.36
Tm: 0.6009 0.6009 0.6009  1 Tm 3.08, 6 Mg 3.17-3.36
Mg: 0.0000 0.5000 0.5000  8 Mg 3.00-3.07, 2 Tm 3.17
Mg: 0.1421 0.1421 0.6562  8 Mg 2.99-3.27
Mg: 0.1421 0.6562 0.1421  8 Mg 2.99-3.27
Mg: 0.2019 0.5000 0.7981  8 Mg 3.00-3.27
Mg: 0.2019 0.7981 0.5000  8 Mg 3.00-3.27
Mg: 0.3438 0.8579 0.8579  8 Mg 2.99-3.27
Mg: 0.5000 0.0000 0.5000  8 Mg 3.00-3.07, 2 Tm 3.17
Mg: 0.5000 0.2019 0.7981  8 Mg 3.00-3.27
Mg: 0.5000 0.5000 0.0000  8 Mg 3.00-3.07, 2 Tm 3.17
Mg: 0.5000 0.7981 0.2019  8 Mg 3.00-3.27
Mg: 0.6562 0.1421 0.1421  8 Mg 2.99-3.27
Mg: 0.7981 0.2019 0.5000  8 Mg 3.00-3.27
Mg: 0.7981 0.5000 0.2019  8 Mg 3.00-3.27
Mg: 0.8579 0.3438 0.8579  8 Mg 2.99-3.27
Mg: 0.8579 0.8579 0.3438  8 Mg 2.99-3.27

Summary:
DOS at the Fermi energy	13.4	states/eV/cell
density	3.05	Mg/m³
DFT total energy	-2.3872	eV per atom
energy relative to the elements	0.525	kcal/mol of atoms

This record from Alexandria describes a relaxed Bi3Pd12Se crystal. The functional is PBE.

Cell lengths 4.1184, 4.1184, 16.3846 Å; angles 90.00, 90.00, 90.00 degrees
Last column: nearest neighbours and their distance in Å.
Fractional coordinates of all 16 atoms:
Bi: 0.0000 0.0000 0.0000  12 Pd 2.91-2.92
Bi: 0.0000 0.0000 0.2585  12 Pd 2.84-2.98
Bi: 0.0000 0.0000 0.7415  12 Pd 2.84-2.98
Pd: 0.0000 0.5000 0.1267  8 Pd 2.89-2.92, 4 Bi 2.92-2.98
Pd: 0.0000 0.5000 0.3779  2 Bi 2.84, 2 Se 2.87, 8 Pd 2.87-2.93
Pd: 0.0000 0.5000 0.6221  2 Bi 2.84, 8 Pd 2.87-2.93, 2 Se 2.87
Pd: 0.0000 0.5000 0.8733  8 Pd 2.89-2.92, 4 Bi 2.92-2.98
Pd: 0.5000 0.0000 0.1267  8 Pd 2.89-2.92, 4 Bi 2.92-2.98
Pd: 0.5000 0.0000 0.3779  2 Bi 2.84, 2 Se 2.87, 8 Pd 2.87-2.93
Pd: 0.5000 0.0000 0.6221  2 Bi 2.84, 8 Pd 2.87-2.93, 2 Se 2.87
Pd: 0.5000 0.0000 0.8733  8 Pd 2.89-2.92, 4 Bi 2.92-2.98
Pd: 0.5000 0.5000 0.0000  4 Bi 2.91, 8 Pd 2.92
Pd: 0.5000 0.5000 0.2504  8 Pd 2.89-2.93, 4 Bi 2.92
Pd: 0.5000 0.5000 0.5000  8 Pd 2.87, 4 Se 2.91
Pd: 0.5000 0.5000 0.7496  8 Pd 2.89-2.93, 4 Bi 2.92
Se: 0.0000 0.0000 0.5000  12 Pd 2.87-2.91

Summary:
DOS at the Fermi energy	13.2	states/eV/cell
density	11.85	Mg/m³
DFT total energy	-5.0056	eV per atom
raw formation energy	-165	meV/atom

This record from Alexandria describes a relaxed Ti2NbIr5 crystal. The functional is PBE.

Cell lengths 5.5471, 11.0094, 3.9964 Å; angles 90.00, 90.00, 90.00 degrees
Last column: nearest neighbours and their distance in Å.
Fractional coordinates of all 16 atoms:
Ti: 0.1952 0.1408 0.0000  9 Ir 2.62-2.89
Ti: 0.3048 0.6408 0.0000  9 Ir 2.62-2.89
Ti: 0.6952 0.3592 0.0000  9 Ir 2.62-2.89
Ti: 0.8048 0.8592 0.0000  9 Ir 2.62-2.89
Nb: 0.0000 0.5000 0.5000  8 Ir 2.69-2.77
Nb: 0.5000 0.0000 0.5000  8 Ir 2.69-2.77
Ir: 0.0000 0.0000 0.5000  4 Ti 2.75, 2 Nb 2.77, 6 Ir 2.80-2.84
Ir: 0.0375 0.7464 0.5000  4 Ti 2.68-2.75, 1 Nb 2.72, 7 Ir 2.77-2.84
Ir: 0.2246 0.3812 0.0000  3 Ti 2.62-2.89, 2 Nb 2.69, 6 Ir 2.82-2.84
Ir: 0.2754 0.8812 0.0000  3 Ti 2.62-2.89, 2 Nb 2.69, 6 Ir 2.82-2.84
Ir: 0.4625 0.2464 0.5000  4 Ti 2.68-2.75, 1 Nb 2.72, 7 Ir 2.77-2.84
Ir: 0.5000 0.5000 0.5000  4 Ti 2.75, 2 Nb 2.77, 6 Ir 2.80-2.84
Ir: 0.5375 0.7536 0.5000  4 Ti 2.68-2.75, 1 Nb 2.72, 7 Ir 2.77-2.84
Ir: 0.7246 0.1188 0.0000  3 Ti 2.62-2.89, 2 Nb 2.69, 6 Ir 2.82-2.84
Ir: 0.7754 0.6188 0.0000  3 Ti 2.62-2.89, 2 Nb 2.69, 6 Ir 2.82-2.84
Ir: 0.9625 0.2536 0.5000  4 Ti 2.68-2.75, 1 Nb 2.72, 7 Ir 2.77-2.84

Summary:
DOS at the Fermi energy	8.0	states/eV/cell
density	15.64	Mg/m³
DFT total energy	-9.4565	eV per atom
energy relative to the elements	-15.817	kcal/mol of atoms

This record from Alexandria describes a relaxed Li4ScHg5 crystal. The functional is PBE.

Cell lengths 3.3940, 3.3940, 16.5305 Å; angles 90.00, 90.00, 90.00 degrees
Last column: nearest neighbours and their distance in Å.
Fractional coordinates of all 10 atoms:
Li: 0.0000 0.0000 0.0959  8 Hg 2.88-2.89, 2 Li 3.17-3.22
Li: 0.0000 0.0000 0.2908  8 Hg 2.88-2.89, 1 Li 3.22
Li: 0.0000 0.0000 0.7092  8 Hg 2.88-2.89, 1 Li 3.22
Li: 0.0000 0.0000 0.9041  8 Hg 2.88-2.89, 2 Li 3.17-3.22
Sc: 0.0000 0.0000 0.5000  8 Hg 3.04, 4 Sc 3.39
Hg: 0.5000 0.5000 0.0000  8 Li 2.88, 2 Hg 3.19
Hg: 0.5000 0.5000 0.1928  8 Li 2.89, 2 Hg 3.19-3.21
Hg: 0.5000 0.5000 0.3871  4 Li 2.88, 4 Sc 3.04, 1 Hg 3.21
Hg: 0.5000 0.5000 0.6129  4 Li 2.88, 4 Sc 3.04, 1 Hg 3.21
Hg: 0.5000 0.5000 0.8072  8 Li 2.89, 2 Hg 3.19-3.21

Summary:
DOS at the Fermi energy	3.8	states/eV/cell
density	9.38	Mg/m³
DFT total energy	-1.9237	eV per atom
energy relative to the elements	-8.627	kcal/mol of atoms

This record from Alexandria describes a relaxed NdPu2NpSe4 crystal. The functional is PBE.

Cell lengths 7.1570, 4.1300, 7.2568 Å; angles 90.00, 109.23, 90.00 degrees
Last column: nearest neighbours and their distance in Å.
Fractional coordinates of all 8 atoms:
Nd: 0.0000 0.0000 0.0000  6 Se 2.97
Pu: 0.0000 0.5000 0.5000  6 Se 2.94
Pu: 0.5000 0.0000 0.5000  6 Se 2.90-2.91
Np: 0.5000 0.5000 0.0000  6 Se 2.93-2.94
Se: 0.2537 0.0000 0.7489  3 Pu 2.91-2.94, 2 Np 2.93, 1 Nd 2.97
Se: 0.2551 0.5000 0.2554  3 Pu 2.90-2.94, 1 Np 2.94, 2 Nd 2.97
Se: 0.7449 0.5000 0.7446  3 Pu 2.90-2.94, 1 Np 2.94, 2 Nd 2.97
Se: 0.7463 0.0000 0.2511  3 Pu 2.91-2.94, 2 Np 2.93, 1 Nd 2.97

Summary:
DOS at the Fermi energy	27.7	states/eV/cell
density	9.72	Mg/m³
DFT total energy	-9.0129	eV per atom
raw formation energy	-1474	meV/atom

This record from Alexandria describes a relaxed Zr3RhC crystal. The functional is PBE.

Cell lengths 4.4967, 4.4967, 4.4967 Å; angles 90.00, 90.00, 90.00 degrees
Last column: nearest neighbours and their distance in Å.
Fractional coordinates of all 5 atoms:
Zr: 0.0000 0.0000 0.5000  2 C 2.25
Zr: 0.0000 0.5000 0.0000  2 C 2.25
Zr: 0.5000 0.0000 0.0000  2 C 2.25
Rh: 0.5000 0.5000 0.5000  12 Zr 3.18
C: 0.0000 0.0000 0.0000  6 Zr 2.25

Summary:
DOS at the Fermi energy	6.2	states/eV/cell
relative energy among the computed polymorphs	24.1	kJ per mole of atoms
density	7.10	Mg/m³
DFT total energy	-8.8627	eV per atom
energy relative to the elements	-9.657	kcal/mol of atoms

Question: The highest density belongs to which entry?
Answer: Ti2NbIr5